Computed, not measured: a geometry-optimized Er2Tm2I5N structure at the PBE level of DFT.

Cell and atoms, written as CIF:
```
data_Er2Tm2I5N
_symmetry_space_group_name_H-M 'P 1'
_symmetry_Int_Tables_number 1
_symmetry_space_group_name_Hall 'P 1'
_cell_length_a 9.766
_cell_length_b 9.766
_cell_length_c 8.449
_cell_angle_alpha 102.19
_cell_angle_beta 102.19
_cell_angle_gamma 22.85
loop_
_atom_site_label
_atom_site_fract_x
_atom_site_fract_y
_atom_site_fract_z
I1 0.163 0.163 0.822
Er1 0.000 0.000 0.813
Tm1 0.622 0.622 0.060
I2 0.500 0.500 0.500
I3 0.839 0.839 0.663
I4 0.161 0.161 0.337
I5 0.837 0.837 0.178
Er2 0.000 0.000 0.187
Tm2 0.378 0.378 0.940
N1 0.500 0.500 0.000
```

Calculated values
The mass density comes out at 7.18 g/cm³. The spin magnetization comes out at 0.002 μB/cell. The total energy comes out at -4.623 eV/atom. As for the space-group type: C2/m, No. 12.